# AlRe2Tc

AlRe2Tc after structural relaxation (PBE, the Alexandria database).

Calculated values
The calculation puts the volume at 16.5 Å³/atom. The space group is R3m (160). The formation energy comes out at 0.324 eV per atom.

a = 4.213 Å, b = 4.213 Å, c = 4.928 Å
α = 64.69°, β = 64.69°, γ = 60.00°
Element x y z (fractional)
Re  0.077  0.077  0.770
Re  0.266  0.266  0.202
Tc  0.478  0.478  0.567
Al  0.679  0.679  0.962


# AcDy2Er9

AcDy2Er9 after structural relaxation (PBE, the Alexandria database).

Calculated values
The calculation puts the volume at 31.7 Å³/atom. The space group is P4/mmm (123). The formation energy comes out at 0.041 eV per atom.

a = 5.018 Å, b = 5.018 Å, c = 15.086 Å
α = 90.00°, β = 90.00°, γ = 90.00°
Element x y z (fractional)
Er  0.000  0.500  0.826
Er  0.500  0.000  0.826
Er  0.500  0.500  0.000
Er  0.000  0.500  0.174
Er  0.500  0.500  0.663
Er  0.500  0.000  0.174
Er  0.500  0.000  0.500
Er  0.500  0.500  0.337
Er  0.000  0.500  0.500
Dy  0.000  0.000  0.664
Dy  0.000  0.000  0.336
Ac  0.000  0.000  0.000


# CsKCdAu

CsKCdAu after structural relaxation (PBE, the Alexandria database).

Calculated values
The calculation puts the volume at 47.5 Å³/atom. The space group is Cm (8). The formation energy comes out at -0.210 eV per atom.

a = 4.971 Å, b = 4.971 Å, c = 9.322 Å
α = 90.15°, β = 105.32°, γ = 119.98°
Element x y z (fractional)
Cd  0.830  0.280  0.110
Cs  0.354  0.043  0.397
K  0.008  0.868  0.876
Au  0.499  0.614  0.113


# SmMn2Co9

SmMn2Co9 after structural relaxation (PBE, the Alexandria database).

Calculated values
The calculation puts the volume at 13.2 Å³/atom. The space group is R-3m (166). The formation energy comes out at 0.010 eV per atom.

a = 4.850 Å, b = 4.850 Å, c = 8.259 Å
α = 72.93°, β = 72.93°, γ = 60.00°
Last column: magnetic moment on the atom in μB.
Element x y z (fractional)
Co  0.664  0.664  0.008  1.56
Co  0.500  0.500  0.500  1.71
Co  0.408  0.408  0.261  1.63
Co  0.408  0.922  0.261  1.63
Co  0.922  0.408  0.261  1.63
Co  0.592  0.592  0.739  1.63
Co  0.336  0.336  0.992  1.56
Co  0.078  0.592  0.739  1.63
Co  0.592  0.078  0.739  1.63
Sm  0.000  0.000  0.000  -0.20
Mn  0.145  0.145  0.565  3.60
Mn  0.855  0.855  0.435  3.60


# Ce2ThB9

Ce2ThB9 after structural relaxation (PBE, the Alexandria database).

Calculated values
The calculation puts the volume at 11.8 Å³/atom. The space group is R-3m (166). The formation energy comes out at -0.219 eV per atom.

a = 4.570 Å, b = 4.570 Å, c = 8.260 Å
α = 73.94°, β = 73.94°, γ = 60.00°
Element x y z (fractional)
B  0.167  0.534  0.764
B  0.736  0.736  0.791
B  0.534  0.167  0.764
B  0.833  0.466  0.236
B  0.466  0.466  0.236
B  0.466  0.833  0.236
B  0.534  0.534  0.764
B  0.264  0.264  0.209
B  0.500  0.500  0.500
Th  0.000  0.000  0.000
Ce  0.140  0.140  0.579
Ce  0.860  0.860  0.421


# BeRh2I2

BeRh2I2 after structural relaxation (PBE, the Alexandria database).

Calculated values
The calculation puts the volume at 27.8 Å³/atom. The space group is I4/mmm (139). The raw formation energy is 0.317 eV per atom.

a = 5.413 Å, b = 5.413 Å, c = 6.096 Å
α = 63.64°, β = 63.64°, γ = 90.00°
Element x y z (fractional)
Rh  0.215  0.215  0.570
Rh  0.785  0.785  0.430
I  0.750  0.250  0.500
I  0.250  0.750  0.500
Be  0.000  0.000  0.000


# Ce2TmBi3

Ce2TmBi3 after structural relaxation (PBE, the Alexandria database).

Calculated values
The calculation puts the volume at 33.2 Å³/atom. The space group is Immm (71). The formation energy comes out at -0.776 eV per atom.

a = 4.536 Å, b = 6.441 Å, c = 7.874 Å
α = 114.14°, β = 106.74°, γ = 90.00°
Last column: magnetic moment on the atom in μB.
Element x y z (fractional)
Ce  0.831  0.831  0.163  0.82
Ce  0.169  0.169  0.837  0.82
Bi  0.161  0.661  0.823  -0.03
Bi  0.500  0.000  0.500  -0.03
Bi  0.839  0.339  0.177  -0.03
Tm  0.500  0.500  0.500  -0.01